[1]
Here is a geometry-optimized HfZrU structure from the Alexandria database. Energies are from PBE.

a = 2.9309 Å, b = 7.3342 Å, c = 7.3342 Å
α = 90.36°, β = 90.00°, γ = 90.00°
Last column: magnetic moment on the atom in μB.
Element x y z (fractional)
U 0.0000 0.0000 0.0000  0.42
Zr 0.0000 0.2640 0.2640  0.00
Zr 0.0000 0.7360 0.7360  0.00
Hf 0.5000 0.7672 0.2328  0.02
U 0.5000 0.5000 0.5000  1.12
Hf 0.5000 0.2328 0.7672  0.02

E above lowest polymorph: 744.2 meV per atom
ΔH_f (0 K): 964 meV per atom
magnetization: 0.8 μB/f.u.
space group: Cmmm (65)


[2]
Here is a geometry-optimized HfZrU structure from the Alexandria database. Energies are from PBE.

a = 3.0193 Å, b = 5.0751 Å, c = 5.0751 Å
α = 120.00°, β = 90.00°, γ = 90.00°
Last column: magnetic moment on the atom in μB.
Element x y z (fractional)
U 0.1663 0.3333 0.6667  1.91
Zr 0.6666 0.6667 0.3333  -0.03
Hf 0.1671 0.0000 0.0000  -0.09

E above lowest polymorph: 0.0 meV per atom
ΔH_f (0 K): 220 meV per atom
magnetization: 1.9 μB/f.u.
space group: P-6m2 (187)


[3]
Here is a geometry-optimized HfZrU structure from the Alexandria database. Energies are from PBE.

a = 3.5215 Å, b = 3.5215 Å, c = 5.8965 Å
α = 107.37°, β = 107.37°, γ = 90.00°
Last column: magnetic moment on the atom in μB.
Element x y z (fractional)
U 0.9465 0.9465 0.8931  1.28
Hf 0.6093 0.6093 0.2186  0.00
Zr 0.2942 0.2942 0.5883  0.04

E above lowest polymorph: 111.9 meV per atom
ΔH_f (0 K): 332 meV per atom
magnetization: 1.4 μB/f.u.
space group: I4mm (107)


[4]
Here is a geometry-optimized HfV structure from the Alexandria database. Energies are from PBE.

a = 9.8078 Å, b = 9.8078 Å, c = 3.0590 Å
α = 90.00°, β = 90.00°, γ = 90.00°
Element x y z (fractional)
V 0.1458 0.5000 0.0000
V 0.5000 0.8542 0.0000
Hf 0.6557 0.3443 0.5000
Hf 0.3443 0.3443 0.5000
Hf 0.1557 0.8443 0.0000
V 0.3542 0.0000 0.5000
V 0.0000 0.6458 0.5000
Hf 0.8443 0.1557 0.0000
V 0.6458 0.0000 0.5000
V 0.8542 0.5000 0.0000
V 0.0000 0.3542 0.5000
Hf 0.6557 0.6557 0.5000
Hf 0.3443 0.6557 0.5000
Hf 0.8443 0.8443 0.0000
V 0.5000 0.1458 0.0000
Hf 0.1557 0.1557 0.0000

E above lowest polymorph: 71.5 meV per atom
ΔH_f (0 K): 214 meV per atom
magnetization: 0.0 μB/f.u.
space group: I4/mmm (139)


[5]
Here is a geometry-optimized HfV structure from the Alexandria database. Energies are from PBE.

a = 3.3161 Å, b = 3.3161 Å, c = 3.3161 Å
α = 90.00°, β = 90.00°, γ = 90.00°
Last column: magnetic moment on the atom in μB.
Element x y z (fractional)
V 0.5000 0.5000 0.5000  1.60
Hf 0.0000 0.0000 0.0000  0.27

E above lowest polymorph: 27.7 meV per atom
ΔH_f (0 K): 171 meV per atom
magnetization: 2.2 μB/f.u.
space group: Pm-3m (221)


[6]
Here is a geometry-optimized HfV structure from the Alexandria database. Energies are from PBE.

a = 7.4610 Å, b = 7.4610 Å, c = 7.4610 Å
α = 90.00°, β = 90.00°, γ = 90.00°
Last column: magnetic moment on the atom in μB.
Element x y z (fractional)
V 0.0000 0.2500 0.5000  2.30
Hf 0.2500 0.0000 0.5000  0.56
V 0.7500 0.5000 0.0000  2.30
Hf 0.0000 0.5000 0.2500  0.56
V 0.2500 0.5000 0.0000  2.30
V 0.5000 0.0000 0.2500  2.30
Hf 0.5000 0.2500 0.0000  0.56
Hf 0.7500 0.0000 0.5000  0.56
V 0.5000 0.0000 0.7500  2.30
Hf 0.5000 0.7500 0.0000  0.56
V 0.0000 0.7500 0.5000  2.30
Hf 0.0000 0.5000 0.7500  0.56

E above lowest polymorph: 2397.1 meV per atom
ΔH_f (0 K): 2540 meV per atom
magnetization: 3.2 μB/f.u.
space group: Pm-3n (223)


[7]
Here is a geometry-optimized HfV3 structure from the Alexandria database. Energies are from PBE.

a = 4.4426 Å, b = 4.4426 Å, c = 4.4426 Å
α = 60.00°, β = 60.00°, γ = 60.00°
Element x y z (fractional)
V 0.7500 0.7500 0.7500
V 0.2500 0.2500 0.2500
Hf 0.5000 0.5000 0.5000
V 0.0000 0.0000 0.0000

E above lowest polymorph: 98.7 meV per atom
ΔH_f (0 K): 175 meV per atom
magnetization: 0.0 μB/f.u.
space group: Fm-3m (225)


[8]
Here is a geometry-optimized HfV3 structure from the Alexandria database. Energies are from PBE.

a = 5.3178 Å, b = 5.3178 Å, c = 8.4292 Å
α = 90.06°, β = 108.31°, γ = 120.02°
Element x y z (fractional)
Hf 0.7105 0.8551 0.5656
V 0.3337 0.6668 0.0005
V 0.3386 0.9218 0.7548
V 0.0000 0.5000 0.5000
V 0.6614 0.0782 0.2452
V 0.1669 0.5838 0.2452
V 0.3387 0.4163 0.7549
V 0.8331 0.4162 0.7548
V 0.6613 0.5837 0.2451
V 0.6663 0.3332 0.9995
Hf 0.2895 0.1449 0.4344
Hf 0.0000 0.0000 0.0000

E above lowest polymorph: 0.0 meV per atom
ΔH_f (0 K): 76 meV per atom
magnetization: 0.0 μB/f.u.
space group: C2/m (12)


[9]
Here is a geometry-optimized HfV structure from the Alexandria database. Energies are from PBE.

a = 5.3210 Å, b = 5.3210 Å, c = 5.4428 Å
α = 90.00°, β = 90.00°, γ = 90.00°
Element x y z (fractional)
Hf 0.6902 0.3098 0.5000
Hf 0.1902 0.1902 0.0000
V 0.1697 0.1697 0.5000
Hf 0.8098 0.8098 0.0000
V 0.3303 0.6697 0.0000
Hf 0.3098 0.6902 0.5000
V 0.6697 0.3303 0.0000
V 0.8303 0.8303 0.5000

E above lowest polymorph: 634.4 meV per atom
ΔH_f (0 K): 777 meV per atom
magnetization: 0.0 μB/f.u.
space group: P4_2/mnm (136)


[10]
Here is a geometry-optimized HfV structure from the Alexandria database. Energies are from PBE.

a = 5.6128 Å, b = 4.8019 Å, c = 10.6499 Å
α = 90.00°, β = 90.00°, γ = 90.00°
Element x y z (fractional)
V 0.6072 0.7500 0.4085
Hf 0.8288 0.2500 0.1713
V 0.5294 0.7500 0.2072
V 0.0294 0.7500 0.2928
Hf 0.8481 0.2500 0.4624
Hf 0.3481 0.2500 0.0376
V 0.8928 0.2500 0.9085
V 0.3928 0.2500 0.5915
Hf 0.6519 0.7500 0.9624
Hf 0.6712 0.7500 0.6713
Hf 0.1712 0.7500 0.8287
Hf 0.3288 0.2500 0.3287
Hf 0.1519 0.7500 0.5376
V 0.1072 0.7500 0.0915
V 0.4706 0.2500 0.7928
V 0.9706 0.2500 0.7072

E above lowest polymorph: 0.0 meV per atom
ΔH_f (0 K): 143 meV per atom
magnetization: 0.0 μB/f.u.
space group: Pnma (62)


[11]
Here is a geometry-optimized HfV structure from the Alexandria database. Energies are from PBE.

a = 3.1119 Å, b = 4.6987 Å, c = 14.9245 Å
α = 90.00°, β = 90.00°, γ = 90.00°
Element x y z (fractional)
V 0.0000 0.7481 0.3745
V 0.5000 0.2519 0.8746
V 0.5000 0.7624 0.5000
Hf 0.5000 0.7441 0.0000
V 0.0000 0.7481 0.6255
Hf 0.0000 0.7560 0.8126
Hf 0.5000 0.2440 0.3126
Hf 0.0000 0.7560 0.1874
V 0.0000 0.2376 0.0000
Hf 0.5000 0.2440 0.6874
Hf 0.0000 0.2559 0.5000
V 0.5000 0.2519 0.1254

E above lowest polymorph: 3.7 meV per atom
ΔH_f (0 K): 147 meV per atom
magnetization: 0.0 μB/f.u.
space group: Pmmn (59)


[12]
Here is a geometry-optimized HfV structure from the Alexandria database. Energies are from PBE.

a = 7.6969 Å, b = 7.6969 Å, c = 7.6969 Å
α = 90.00°, β = 90.00°, γ = 90.00°
Element x y z (fractional)
V 0.6104 0.3896 0.3896
Hf 0.7129 0.7129 0.2871
V 0.8896 0.1104 0.8896
V 0.6104 0.6104 0.6104
Hf 0.2871 0.2871 0.2871
Hf 0.7871 0.2129 0.2129
V 0.1104 0.8896 0.8896
V 0.3896 0.6104 0.3896
Hf 0.2871 0.7129 0.7129
Hf 0.7129 0.2871 0.7129
V 0.3896 0.3896 0.6104
Hf 0.7871 0.7871 0.7871
V 0.8896 0.8896 0.1104
Hf 0.2129 0.7871 0.2129
V 0.1104 0.1104 0.1104
Hf 0.2129 0.2129 0.7871

E above lowest polymorph: 1566.4 meV per atom
ΔH_f (0 K): 1709 meV per atom
magnetization: 0.0 μB/f.u.
space group: I-43m (217)


> What is the formula in the sixth record?

HfV